# 1
# Cs2KRb4Na2

A geometry-optimized Cs2KRb4Na2 structure (GGA-PBE, the Alexandria database).

Cell lengths 8.4975, 9.4647, 10.5372 Å; angles 66.10, 84.41, 72.11 degrees
Last column: nearest neighbours and their distance in Å.
Space group P-1 (No. 2)
Inequivalent atoms, fractional coordinates:
Cs  0.2242  0.0537  0.3310  2 Na 4.46-4.72, 2 Rb 4.72-4.99
K  0.0000  0.5000  0.5000  2 Na 4.15
Rb  0.2505  0.0029  0.8690  2 Na 4.24-4.28, 1 Cs 4.72, 1 K 4.74
Rb  0.4297  0.5020  0.7591  3 Na 4.31-4.71, 1 K 4.78
Na  0.0841  0.5857  0.0842  1 Na 3.47

Output
For the energy, the calculation gives -1.01 eV per atom. For the density of states at the Fermi level, the calculation gives 0.764 states/eV/atom. The formation energy is 21 kJ/mol of formula units.

***

# 2
# CsKRb2Na

A geometry-optimized CsKRb2Na structure (GGA-PBE, the Alexandria database).

Cell lengths 7.6915, 7.6915, 7.4645 Å; angles 90.00, 90.00, 90.00 degrees
Last column: nearest neighbours and their distance in Å.
Space group P4/mmm (No. 123)
Inequivalent atoms, fractional coordinates:
Cs  0.0000  0.0000  0.0000  8 Rb 5.36, 4 K 5.44
K  0.5000  0.5000  0.0000  2 Na 3.73
Rb  0.0000  0.5000  0.5000  2 Na 3.85
Na  0.5000  0.5000  0.5000  2 K 3.73, 4 Rb 3.85

Output
For the energy, the calculation gives -0.98 eV per atom. For the density of states at the Fermi level, the calculation gives 0.767 states/eV/atom. The formation energy is 32 kJ/mol of formula units. The energy relative to the lowest polymorph listed for this composition is 9 meV per atom.

***

Question: Which value of energy does entry 1 give?
Answer: -1.01 eV per atom

***

Copy entry 2 word for word.
# CsKRb2Na

A geometry-optimized CsKRb2Na structure (GGA-PBE, the Alexandria database).

Cell lengths 7.6915, 7.6915, 7.4645 Å; angles 90.00, 90.00, 90.00 degrees
Last column: nearest neighbours and their distance in Å.
Space group P4/mmm (No. 123)
Inequivalent atoms, fractional coordinates:
Cs  0.0000  0.0000  0.0000  8 Rb 5.36, 4 K 5.44
K  0.5000  0.5000  0.0000  2 Na 3.73
Rb  0.0000  0.5000  0.5000  2 Na 3.85
Na  0.5000  0.5000  0.5000  2 K 3.73, 4 Rb 3.85

Output
For the energy, the calculation gives -0.98 eV per atom. For the density of states at the Fermi level, the calculation gives 0.767 states/eV/atom. The formation energy is 32 kJ/mol of formula units. The energy relative to the lowest polymorph listed for this composition is 9 meV per atom.

***

Question: energy of number 1 (Cs2KRb4Na2)?
Answer: -1.01 eV per atom